w) Below is a geometry-optimized AgPtPb structure, with properties calculated at the PBE-GGA level.

It has space group F-43m (No. 216), with a = 6.492 Å, b = 6.492 Å, c = 6.492 Å, α = 90.00°, β = 90.00° and γ = 90.00°. The distinct sites, in fractional coordinates, are Ag at (0.000, 0.000, 0.000), Pt at (0.250, 0.250, 0.750) and Pb at (0.000, 0.000, 0.500).

For the density of states at the Fermi level, the calculation gives 2.0 states/eV/f.u.

x) Below is a geometry-optimized AgPtPb structure, with properties calculated at the PBE-GGA level.

It has space group I4mm (No. 107), with a = 3.641 Å, b = 3.641 Å, c = 9.101 Å, α = 90.00°, β = 90.00° and γ = 90.00°. The distinct sites, in fractional coordinates, are Ag at (0.000, 0.000, 0.000), Pt at (0.000, 0.000, 0.343) and Pb at (0.000, 0.000, 0.681).

For the density of states at the Fermi level, the calculation gives 1.2 states/eV/f.u.

Tell me which of them is the least stable. Sure, it is x).

w) Below is a geometry-optimized Pu2AgPb structure, with properties calculated at the PBE-GGA level.

It has space group Fm-3m (No. 225), with a = 7.546 Å, b = 7.546 Å, c = 7.546 Å, α = 90.00°, β = 90.00° and γ = 90.00°. The distinct sites, in fractional coordinates, are Pu at (0.250, 0.250, 0.250), Ag at (0.000, 0.000, 0.000) and Pb at (0.000, 0.000, 0.500).

For the density of states at the Fermi level, the calculation gives 16.6 states/eV/f.u.

x) Below is a geometry-optimized Pu2AgPb structure, with properties calculated at the PBE-GGA level.

It has space group R-3m (No. 166, hexagonal axes), with a = 3.3568 Å, b = 3.3568 Å, c = 32.3383 Å, α = 90.00°, β = 90.00° and γ = 120.00°. The distinct sites, in fractional coordinates, are Pu at (0.0000, 0.0000, 0.2459), Ag at (0.0000, 0.0000, 0.5000) and Pb at (0.0000, 0.0000, 0.0000).

For the density of states at the Fermi level, the calculation gives 16.1 states/eV/f.u.

y) Below is a geometry-optimized Pu2AgPb structure, with properties calculated at the PBE-GGA level.

It has space group P4/mmm (No. 123), with a = 4.516 Å, b = 4.516 Å, c = 4.858 Å, α = 90.00°, β = 90.00° and γ = 90.00°. The distinct sites, in fractional coordinates, are Pu at (0.000, 0.500, 0.000), Ag at (0.000, 0.000, 0.500) and Pb at (0.500, 0.500, 0.500).

For the density of states at the Fermi level, the calculation gives 11.7 states/eV/f.u.

Tell me which of them is the least stable. Sure, it is x).

w) Below is a geometry-optimized Rb3AgPb structure, with properties calculated at the PBE-GGA level.

It has space group Pm-3m (No. 221), with a = 6.645 Å, b = 6.645 Å, c = 6.645 Å, α = 90.00°, β = 90.00° and γ = 90.00°. The distinct sites, in fractional coordinates, are Rb at (0.000, 0.000, 0.500), Ag at (0.000, 0.000, 0.000) and Pb at (0.500, 0.500, 0.500).

For the density of states at the Fermi level, the calculation gives 5.4 states/eV/f.u.

x) Below is a geometry-optimized Rb3AgPb structure, with properties calculated at the PBE-GGA level.

It has space group C2/m (No. 12), with a = 13.255 Å, b = 11.148 Å, c = 8.881 Å, α = 90.00°, β = 129.70° and γ = 90.00°. The distinct sites, in fractional coordinates, are Rb at (0.057, 0.000, 0.330), Rb at (0.212, 0.303, 0.743), Ag at (0.210, 0.500, 0.098) and Pb at (0.063, 0.500, 0.243).

For the density of states at the Fermi level, the calculation gives 3.8 states/eV/f.u.

Tell me which of them is the least stable. Sure, it is w).

w) Below is a geometry-optimized RbAg3Pb structure, with properties calculated at the PBE-GGA level.

It has space group Pm-3m (No. 221), with a = 5.509 Å, b = 5.509 Å, c = 5.509 Å, α = 90.00°, β = 90.00° and γ = 90.00°. The distinct sites, in fractional coordinates, are Rb at (0.000, 0.000, 0.000), Ag at (0.000, 0.500, 0.500) and Pb at (0.500, 0.500, 0.500).

For the density of states at the Fermi level, the calculation gives 0.0 states/eV/f.u.

x) Below is a geometry-optimized RbAg3Pb structure, with properties calculated at the PBE-GGA level.

It has space group Pm-3m (No. 221), with a = 5.733 Å, b = 5.733 Å, c = 5.733 Å, α = 90.00°, β = 90.00° and γ = 90.00°. The distinct sites, in fractional coordinates, are Rb at (0.000, 0.000, 0.000), Ag at (0.000, 0.000, 0.500) and Pb at (0.500, 0.500, 0.500).

For the density of states at the Fermi level, the calculation gives 2.9 states/eV/f.u.

Tell me which of them is the least stable. Sure, it is x).

w) Below is a geometry-optimized RbAgPb3 structure, with properties calculated at the PBE-GGA level.

It has space group Pmn2_1 (No. 31), with a = 7.187 Å, b = 6.418 Å, c = 7.207 Å, α = 90.00°, β = 90.00° and γ = 90.00°. The distinct sites, in fractional coordinates, are Rb at (0.000, 0.204, 0.000), Ag at (0.000, 0.621, 0.292), Pb at (0.000, 0.826, 0.642) and Pb at (0.227, 0.292, 0.496).

For the density of states at the Fermi level, the calculation gives 1.6 states/eV/f.u.

x) Below is a geometry-optimized RbAgPb3 structure, with properties calculated at the PBE-GGA level.

It has space group Pm-3m (No. 221), with a = 5.705 Å, b = 5.705 Å, c = 5.705 Å, α = 90.00°, β = 90.00° and γ = 90.00°. The distinct sites, in fractional coordinates, are Rb at (0.000, 0.000, 0.000), Ag at (0.500, 0.500, 0.500) and Pb at (0.000, 0.500, 0.500).

For the density of states at the Fermi level, the calculation gives 5.2 states/eV/f.u.

Tell me which of them is the least stable. Sure, it is x).